1.
Computed, not measured: Cs2PrS2Cl2 after structural relaxation at the PBE level of DFT.

Geometry as POSCAR:
```
Cs2PrS2Cl2
1.0
-4.535 -2.871 -1.377
2.963 -2.927 -3.654
2.668 -3.118 8.862
S Cl Cs Pr
2 2 2 1
Direct
0.000 0.500 0.000
0.500 0.000 0.000
0.159 0.159 0.318
0.841 0.841 0.682
0.645 0.645 0.290
0.355 0.355 0.710
0.000 0.000 0.000
```

Formation energy without anion corrections ... -1.6574 eV/atom
Density of states at the Fermi level ... 2.89 states/eV/f.u.
Symmetry ... I4/mmm, No. 139

=====

2.
Computed, not measured: CsPrSCl after structural relaxation at the PBE level of DFT.

Geometry as POSCAR:
```
CsPrSCl
1.0
4.181 0.002 -0.002
-2.088 3.627 0.000
-2.093 -1.211 8.417
Pr Cs S Cl
1 1 1 1
Direct
0.121 0.959 0.095
0.487 0.141 0.645
0.336 0.566 0.917
0.934 0.365 0.314
```

Formation energy without anion corrections ... -1.6788 eV/atom
Density of states at the Fermi level ... 2.14 states/eV/f.u.
Symmetry ... Cm, No. 8

=====

3.
Computed, not measured: CsPrSeCl2 after structural relaxation at the PBE level of DFT.

Geometry as POSCAR:
```
CsPrSeCl2
1.0
-2.255 -3.220 -1.848
9.357 -3.088 -0.934
-0.552 -3.970 7.592
Cs Pr Se Cl
2 2 2 4
Direct
0.289 0.578 0.250
0.711 0.422 0.750
0.000 0.000 0.500
0.000 0.000 0.000
0.507 0.014 0.750
0.493 0.986 0.250
0.142 0.284 0.014
0.858 0.716 0.986
0.142 0.284 0.486
0.858 0.716 0.514
```

Formation energy without anion corrections ... -1.9953 eV/atom
Symmetry ... Cmcm, No. 63

=====

4.
Computed, not measured: CsPrSn2Cl8 after structural relaxation at the PBE level of DFT.

Geometry as POSCAR:
```
CsPrSn2Cl8
1.0
-6.117 -3.429 0.456
0.989 -1.590 6.275
-5.083 7.589 3.274
Cl Sn Cs Pr
8 2 1 1
Direct
0.176 0.770 0.202
0.390 0.269 0.569
0.324 0.244 0.960
0.610 0.731 0.431
0.859 0.261 0.206
0.676 0.756 0.040
0.141 0.739 0.794
0.824 0.230 0.798
0.516 0.514 0.244
0.484 0.486 0.756
0.000 0.000 0.500
0.000 0.000 0.000
```

Formation energy without anion corrections ... -1.5825 eV/atom
Density of states at the Fermi level ... 0.00 states/eV/f.u.
Symmetry ... P-1, No. 2

=====

5.
Computed, not measured: Cs2SrPrCl6 after structural relaxation at the PBE level of DFT.

Geometry as POSCAR:
```
Cs2SrPrCl6
1.0
-1.297 7.580 -1.672
-7.976 -0.968 1.800
2.113 2.754 10.848
Pr Cl Cs Sr
2 12 4 2
Direct
0.000 0.750 0.000
0.500 0.250 0.500
0.255 0.998 0.500
0.500 0.251 0.251
0.755 0.002 0.000
0.245 0.002 0.000
0.000 0.749 0.249
0.745 0.998 0.500
0.746 0.500 0.500
0.000 0.749 0.751
0.254 0.500 0.500
0.754 0.500 0.000
0.500 0.251 0.749
0.246 0.500 0.000
0.000 0.250 0.253
0.500 0.750 0.247
0.500 0.750 0.753
0.000 0.250 0.747
0.500 0.250 0.000
0.000 0.750 0.500
```

Formation energy without anion corrections ... -2.0853 eV/atom
Density of states at the Fermi level ... 4.82 states/eV/f.u.
Symmetry ... Pmmn, No. 59

=====

6.
Computed, not measured: CsPrTeCl2 after structural relaxation at the PBE level of DFT.

Geometry as POSCAR:
```
CsPrTeCl2
1.0
-0.178 3.329 3.201
-9.301 -2.276 -1.486
0.490 -6.286 6.564
Cl Cs Te Pr
4 2 2 2
Direct
0.854 0.708 0.006
0.854 0.708 0.494
0.146 0.292 0.506
0.146 0.292 0.994
0.716 0.431 0.750
0.284 0.569 0.250
0.498 0.996 0.750
0.502 0.004 0.250
0.000 0.000 0.000
0.000 0.000 0.500
```

Formation energy without anion corrections ... -1.8762 eV/atom
Symmetry ... Cmcm, No. 63

=====

7.
Computed, not measured: Cs3PrTl2Cl9 after structural relaxation at the PBE level of DFT.

Geometry as POSCAR:
```
Cs3PrTl2Cl9
1.0
-6.558 -1.535 -4.576
6.488 -4.904 -0.407
-3.795 -5.629 7.328
Cl Pr Tl Cs
9 1 2 3
Direct
0.840 0.160 0.658
0.500 0.000 0.000
0.840 0.680 0.658
0.000 0.500 0.000
0.160 0.320 0.342
0.160 0.840 0.342
0.320 0.160 0.658
0.680 0.840 0.342
0.500 0.500 0.000
0.000 0.000 0.500
0.667 0.333 0.843
0.333 0.667 0.157
0.000 0.000 0.000
0.333 0.667 0.685
0.667 0.333 0.315
```

Formation energy without anion corrections ... -1.6985 eV/atom
Density of states at the Fermi level ... 3.20 states/eV/f.u.
Symmetry ... P-3m1, No. 164

=====

8.
Computed, not measured: CsPrZnCl6 after structural relaxation at the PBE level of DFT.

Geometry as POSCAR:
```
CsPrZnCl6
1.0
6.958 0.002 0.001
3.481 6.024 -0.001
0.002 -0.003 7.689
Cl Cs Zn Pr
6 1 1 1
Direct
0.029 0.365 0.305
0.365 0.029 0.695
0.366 0.606 0.305
0.028 0.606 0.695
0.606 0.028 0.305
0.606 0.366 0.695
0.000 0.000 0.000
0.333 0.333 0.500
0.666 0.667 0.500
```

Formation energy without anion corrections ... -1.8246 eV/atom
Density of states at the Fermi level ... 0.00 states/eV/f.u.
Symmetry ... P312, No. 149

=====

9.
Computed, not measured: CsPtCl after structural relaxation at the PBE level of DFT.

Geometry as POSCAR:
```
CsPtCl
1.0
-7.169 2.588 -6.878
-5.092 -2.570 4.340
-0.510 5.237 2.502
Pt Cs Cl
4 4 4
Direct
0.691 0.750 0.483
0.809 0.250 0.983
0.309 0.250 0.517
0.191 0.750 0.017
0.145 0.250 0.170
0.855 0.750 0.830
0.645 0.250 0.330
0.355 0.750 0.670
0.948 0.250 0.689
0.052 0.750 0.311
0.552 0.750 0.189
0.448 0.250 0.811
```

E above lowest polymorph ... 123 meV/atom
Formation energy without anion corrections ... -0.2153 eV/atom
Density of states at the Fermi level ... 0.00 states/eV/f.u.
Symmetry ... Pnma, No. 62

=====

10.
Computed, not measured: Cs3PtCl after structural relaxation at the PBE level of DFT.

Geometry as POSCAR:
```
Cs3PtCl
1.0
-4.280 1.864 -4.593
1.100 -5.560 -3.281
-4.833 -2.916 3.321
Cs Pt Cl
3 1 1
Direct
0.500 0.000 0.000
0.000 0.000 0.500
0.000 0.500 0.000
0.000 0.000 0.000
0.500 0.500 0.500
```

E above lowest polymorph ... 0 meV/atom
Formation energy without anion corrections ... -0.6495 eV/atom
Density of states at the Fermi level ... 0.00 states/eV/f.u.
Symmetry ... Pm-3m, No. 221

=====

11.
Computed, not measured: CsPtCl after structural relaxation at the PBE level of DFT.

Geometry as POSCAR:
```
CsPtCl
1.0
11.071 0.000 0.000
0.000 6.059 0.000
0.000 0.000 5.372
Cl Pt Cs
4 4 4
Direct
0.000 0.500 0.000
0.500 0.500 0.500
0.000 0.000 0.000
0.500 0.000 0.500
0.000 0.750 0.634
0.500 0.250 0.134
0.000 0.250 0.366
0.500 0.750 0.866
0.250 0.750 0.250
0.750 0.750 0.250
0.250 0.250 0.750
0.750 0.250 0.750
```

E above lowest polymorph ... 92 meV/atom
Formation energy without anion corrections ... -0.2461 eV/atom
Density of states at the Fermi level ... 0.14 states/eV/f.u.
Symmetry ... Pnma, No. 62

=====

12.
Computed, not measured: Cs3PtCl6 after structural relaxation at the PBE level of DFT.

Geometry as POSCAR:
```
Cs3PtCl6
1.0
7.887 0.000 0.000
0.000 7.887 0.000
3.944 3.944 5.927
Cl Pt Cs
6 1 3
Direct
0.775 0.775 0.451
0.210 0.210 0.000
0.225 0.225 0.549
0.790 0.210 0.000
0.790 0.790 0.000
0.210 0.790 0.000
0.000 0.000 0.000
0.500 0.500 0.000
0.250 0.750 0.500
0.750 0.250 0.500
```

E above lowest polymorph ... 0 meV/atom
Formation energy without anion corrections ... -1.3341 eV/atom
Density of states at the Fermi level ... 0.00 states/eV/f.u.
Symmetry ... I4/mmm, No. 139

=====

13.
Computed, not measured: Cs3PtCl6 after structural relaxation at the PBE level of DFT.

Geometry as POSCAR:
```
Cs3PtCl6
1.0
9.270 0.057 0.058
-0.145 9.269 0.058
-0.145 -0.148 9.268
Cl Cs Pt
12 6 2
Direct
0.244 0.940 0.082
0.246 0.548 0.440
0.756 0.060 0.918
0.754 0.452 0.560
0.548 0.440 0.246
0.940 0.082 0.244
0.440 0.246 0.548
0.560 0.754 0.452
0.082 0.244 0.940
0.060 0.918 0.756
0.452 0.560 0.754
0.918 0.756 0.060
0.066 0.246 0.561
0.246 0.561 0.066
0.754 0.439 0.934
0.561 0.066 0.246
0.934 0.754 0.439
0.439 0.934 0.754
0.000 0.000 0.000
0.500 0.500 0.500
```

E above lowest polymorph ... 19 meV/atom
Formation energy without anion corrections ... -1.3148 eV/atom
Density of states at the Fermi level ... 6.84 states/eV/f.u.
Symmetry ... R-3, No. 148

=====

14.
Computed, not measured: Cs6PtCl after structural relaxation at the PBE level of DFT.

Geometry as POSCAR:
```
Cs6PtCl
1.0
-6.239 1.167 6.271
7.910 -3.509 2.176
5.896 15.174 3.041
Cs Pt Cl
12 2 2
Direct
0.037 0.691 0.372
0.963 0.654 0.872
0.691 0.654 0.628
0.654 0.691 0.128
0.963 0.309 0.628
0.346 0.309 0.872
0.309 0.963 0.128
0.346 0.037 0.628
0.037 0.346 0.128
0.309 0.346 0.372
0.654 0.963 0.372
0.691 0.037 0.872
0.333 0.667 0.250
0.667 0.333 0.750
0.000 0.000 0.500
0.000 0.000 0.000
```

Formation energy without anion corrections ... -0.4709 eV/atom
Density of states at the Fermi level ... 4.56 states/eV/f.u.
Symmetry ... P-31c, No. 163

=====

15.
Computed, not measured: Cs2PtCl7 after structural relaxation at the PBE level of DFT.

Geometry as POSCAR:
```
Cs2PtCl7
1.0
7.479 0.000 0.000
0.000 7.479 0.000
3.739 3.739 5.640
Cl Cs Pt
7 2 1
Direct
0.224 0.776 0.000
0.224 0.224 0.000
0.208 0.208 0.583
0.776 0.224 0.000
0.792 0.792 0.417
0.500 0.500 0.000
0.776 0.776 0.000
0.250 0.750 0.500
0.750 0.250 0.500
0.000 0.000 0.000
```

E above lowest polymorph ... 0 meV/atom
Formation energy without anion corrections ... -1.0203 eV/atom
Density of states at the Fermi level ... 4.65 states/eV/f.u.
Symmetry ... I4/mmm, No. 139

=====

16.
Computed, not measured: CsPtCl after structural relaxation at the PBE level of DFT.

Geometry as POSCAR:
```
CsPtCl
1.0
-1.880 9.781 -3.676
-3.666 0.079 2.085
3.686 3.101 6.365
Cs Cl Pt
4 4 4
Direct
0.000 0.750 0.250
0.500 0.750 0.250
0.000 0.250 0.750
0.500 0.250 0.750
0.250 0.750 0.604
0.750 0.250 0.396
0.250 0.250 0.104
0.750 0.750 0.896
0.250 0.750 0.897
0.250 0.250 0.397
0.750 0.250 0.103
0.750 0.750 0.603
```

E above lowest polymorph ... 0 meV/atom
Formation energy without anion corrections ... -0.3385 eV/atom
Density of states at the Fermi level ... 0.05 states/eV/f.u.
Symmetry ... Pnma, No. 62

=====

17.
Computed, not measured: CsPtCl2 after structural relaxation at the PBE level of DFT.

Geometry as POSCAR:
```
CsPtCl2
1.0
6.112 0.000 0.000
0.000 6.112 0.000
3.056 3.056 7.390
Cl Cs Pt
4 2 2
Direct
0.375 0.219 0.750
0.875 0.031 0.750
0.781 0.125 0.250
0.969 0.625 0.250
0.500 0.500 0.000
0.250 0.750 0.500
0.750 0.250 0.500
0.000 0.000 0.000
```

E above lowest polymorph ... 98 meV/atom
Formation energy without anion corrections ... -0.6313 eV/atom
Density of states at the Fermi level ... 2.62 states/eV/f.u.
Symmetry ... I-42d, No. 122

=====

18.
Computed, not measured: CsPtCl5 after structural relaxation at the PBE level of DFT.

Geometry as POSCAR:
```
CsPtCl5
1.0
-6.896 2.272 0.118
1.109 -7.073 -1.215
3.853 -0.782 9.408
Cs Pt Cl
2 2 10
Direct
0.250 0.500 0.750
0.750 0.500 0.250
0.000 0.000 0.000
0.500 0.000 0.500
0.356 0.638 0.428
0.788 0.070 0.427
0.710 0.928 0.072
0.249 0.999 0.250
0.857 0.639 0.927
0.751 0.001 0.750
0.212 0.930 0.573
0.644 0.362 0.572
0.143 0.361 0.073
0.290 0.072 0.928
```

Formation energy without anion corrections ... -0.8412 eV/atom
Density of states at the Fermi level ... 9.70 states/eV/f.u.
Symmetry ... C2/c, No. 15

=====

19.
Computed, not measured: CsPtCl2 after structural relaxation at the PBE level of DFT.

Geometry as POSCAR:
```
CsPtCl2
1.0
0.000 3.782 3.782
3.782 0.000 3.782
3.782 3.782 0.000
Cl Pt Cs
2 1 1
Direct
0.250 0.250 0.250
0.750 0.750 0.750
0.500 0.500 0.500
0.000 0.000 0.000
```

E above lowest polymorph ... 643 meV/atom
Formation energy without anion corrections ... -0.0860 eV/atom
Density of states at the Fermi level ... 7.57 states/eV/f.u.
Symmetry ... Fm-3m, No. 225

=====

20.
Computed, not measured: CsPt2Cl8 after structural relaxation at the PBE level of DFT.

Geometry as POSCAR:
```
CsPt2Cl8
1.0
-4.531 0.475 2.658
0.433 -6.809 2.018
6.307 7.373 4.235
Pt Cl Cs
2 8 1
Direct
0.692 0.805 0.381
0.308 0.195 0.619
0.197 0.830 0.393
0.766 0.654 0.530
0.584 0.454 0.161
0.234 0.346 0.470
0.616 0.962 0.233
0.803 0.170 0.607
0.416 0.546 0.839
0.383 0.038 0.767
0.000 0.000 0.000
```

Formation energy without anion corrections ... -0.6317 eV/atom
Density of states at the Fermi level ... 9.64 states/eV/f.u.
Symmetry ... P-1, No. 2

=====

Number 1: calculated total energy -30.0 eV/cell. Number 2: calculated total energy -18.3 eV/cell. Number 3: calculated total energy -45.6 eV/cell. Number 4: calculated total energy -47.4 eV/cell. Number 5: calculated total energy -80.2 eV/cell. Number 6: calculated total energy -43.7 eV/cell. Number 7: calculated total energy -54.2 eV/cell. Number 8: calculated total energy -34.4 eV/cell. Number 9: calculated total energy -37.5 eV/cell. Number 10: calculated total energy -13.7 eV/cell. Number 11: calculated total energy -37.9 eV/cell. Number 12: calculated total energy -33.0 eV/cell. Number 13: calculated total energy -65.7 eV/cell. Number 14: calculated total energy -33.6 eV/cell. Number 15: calculated total energy -30.9 eV/cell. Number 16: calculated total energy -39.0 eV/cell. Number 17: calculated total energy -26.2 eV/cell. Number 18: calculated total energy -44.0 eV/cell. Number 19: calculated total energy -10.9 eV/cell. Number 20: calculated total energy -34.7 eV/cell.